This record from Alexandria describes an optimized crystal structure of Ti4Ni4Ge7. The functional is PBEsol.

a b c (Å): 5.0426 9.3871 9.3871
angles (deg): 85.86 74.42 74.42
Closest atoms and distances in Å follow each position.
Atoms (fractional coordinates):
Ge 0.0000 0.2809 0.7191  4 Ni 2.46, 2 Ti 2.54
Ge 0.2484 0.0000 0.0000  2 Ge 2.51-2.54, 8 Ti 2.73-2.74
Ge 0.2989 0.0000 0.4021  4 Ni 2.38, 2 Ti 2.58
Ge 0.7516 0.0000 0.0000  2 Ge 2.51-2.54, 8 Ti 2.73-2.74
Ge 0.9039 0.5961 0.5961  4 Ni 2.39, 1 Ge 2.46
Ge 0.7191 0.2809 0.2809  4 Ni 2.46, 2 Ti 2.54
Ge 0.7011 0.5979 0.0000  4 Ni 2.38, 2 Ti 2.58
Ge 0.5000 0.5961 0.4039  4 Ni 2.39, 1 Ge 2.46
Ge 0.5000 0.4039 0.5961  4 Ni 2.39, 1 Ge 2.46
Ge 0.0000 0.7191 0.2809  4 Ni 2.46, 2 Ti 2.54
Ge 0.0961 0.4039 0.4039  4 Ni 2.39, 1 Ge 2.46
Ge 0.2809 0.7191 0.7191  4 Ni 2.46, 2 Ti 2.54
Ge 0.2989 0.4021 0.0000  4 Ni 2.38, 2 Ti 2.58
Ge 0.7011 0.0000 0.5979  4 Ni 2.38, 2 Ti 2.58
Ti 0.5000 0.1889 0.8111  7 Ge 2.58-2.78
Ti 0.8652 0.2695 0.0000  6 Ge 2.54-2.79
Ti 0.3111 0.1889 0.1889  7 Ge 2.58-2.78
Ti 0.1348 0.7305 0.0000  6 Ge 2.54-2.79
Ti 0.6889 0.8111 0.8111  7 Ge 2.58-2.78
Ti 0.8652 0.0000 0.2695  6 Ge 2.54-2.79
Ti 0.1348 0.0000 0.7305  6 Ge 2.54-2.79
Ti 0.5000 0.8111 0.1889  7 Ge 2.58-2.78
Ni 0.6003 0.7995 0.5000  6 Ge 2.38-2.46, 2 Ni 2.52
Ni 0.3997 0.5000 0.2005  6 Ge 2.38-2.46, 2 Ni 2.52
Ni 0.1003 0.5000 0.7995  6 Ge 2.38-2.46, 2 Ni 2.52
Ni 0.6003 0.5000 0.7995  6 Ge 2.38-2.46, 2 Ni 2.52
Ni 0.8997 0.5000 0.2005  6 Ge 2.38-2.46, 2 Ni 2.52
Ni 0.3997 0.2005 0.5000  6 Ge 2.38-2.46, 2 Ni 2.52
Ni 0.1003 0.7995 0.5000  6 Ge 2.38-2.46, 2 Ni 2.52
Ni 0.8997 0.2005 0.5000  6 Ge 2.38-2.46, 2 Ni 2.52

Computed properties:
M_tot = 0.0 μB/f.u.
ΔH_f (0 K) = -0.595 eV/atom
space-group type = I4/mmm (139)
crystal system = tetragonal